Material: Nd4ErSe7
Method: DFT, PBE-GGA
State: optimized geometry

Total energy: -70.57 eV/f.u.

```
Nd4ErSe7
1.0
6.8786 -2.0409 0.0000
6.8786 2.0409 0.0000
-3.2113 0.0000 12.0241
Nd Er Se
4 1 7
Direct
0.0000 0.0000 0.0000 Nd
0.1890 0.1890 0.7668 Nd
0.5868 0.5868 0.3819 Nd
0.8872 0.8872 0.5714 Nd
0.7747 0.7747 0.1513 Er
0.1555 0.1555 0.2222 Se
0.2256 0.2256 0.5232 Se
0.3823 0.3823 0.0781 Se
0.5486 0.5486 0.6249 Se
0.6317 0.6317 0.9315 Se
0.8490 0.8490 0.7899 Se
0.9246 0.9246 0.3519 Se
```



Material: Nd3ErSe6
Method: DFT, PBE-GGA
State: optimized geometry

Total energy: -58.41 eV/f.u.
Distance to the lowest polymorph of the same formula: 0 meV/atom

```
Nd3ErSe6
1.0
6.1340 3.5415 4.8451
-6.1340 3.5415 4.8451
0.0000 -7.0830 4.8451
Nd Er Se
6 2 12
Direct
0.0707 0.5787 0.7476 Nd
0.2524 0.9293 0.4213 Nd
0.4213 0.2524 0.9293 Nd
0.5787 0.7476 0.0707 Nd
0.7476 0.0707 0.5787 Nd
0.9293 0.4213 0.2524 Nd
0.0000 0.0000 0.0000 Er
0.5000 0.5000 0.5000 Er
0.0402 0.9120 0.6870 Se
0.0880 0.3130 0.9598 Se
0.1906 0.5850 0.4187 Se
0.3130 0.9598 0.0880 Se
0.4150 0.5813 0.8094 Se
0.4187 0.1906 0.5850 Se
0.5813 0.8094 0.4150 Se
0.5850 0.4187 0.1906 Se
0.6870 0.0402 0.9120 Se
0.8094 0.4150 0.5813 Se
0.9120 0.6870 0.0402 Se
0.9598 0.0880 0.3130 Se
```



Material: NdErSe
Method: DFT, PBE-GGA
State: optimized geometry

Total energy: -16.08 eV/f.u.
Distance to the lowest polymorph of the same formula: 0 meV/atom

```
NdErSe
1.0
3.9025 0.0000 0.0000
-1.9512 3.3797 0.0000
0.0000 0.0000 6.6685
Nd Er Se
1 1 1
Direct
0.0000 0.0000 0.0000 Nd
0.3333 0.6667 0.4443 Er
0.6667 0.3333 0.7074 Se
```



Material: NdEr3Se4
Method: DFT, PBE-GGA
State: optimized geometry

Total energy: -44.57 eV/f.u.
Distance to the lowest polymorph of the same formula: 202 meV/atom

```
NdEr3Se4
1.0
5.7292 0.0000 0.0000
0.0000 9.3224 0.0000
0.0000 0.0000 8.5101
Nd Er Se
2 6 8
Direct
0.2500 0.2500 0.2481 Nd
0.7500 0.7500 0.7519 Nd
0.2500 0.0429 0.6534 Er
0.2500 0.4571 0.6534 Er
0.2500 0.7500 0.1066 Er
0.7500 0.2500 0.8934 Er
0.7500 0.5429 0.3466 Er
0.7500 0.9571 0.3466 Er
0.2500 0.2500 0.9010 Se
0.2500 0.5522 0.3429 Se
0.2500 0.7500 0.7703 Se
0.2500 0.9478 0.3429 Se
0.7500 0.0522 0.6571 Se
0.7500 0.2500 0.2297 Se
0.7500 0.4478 0.6571 Se
0.7500 0.7500 0.0990 Se
```



Material: Nd2ErSe4
Method: DFT, PBE-GGA
State: optimized geometry

Total energy: -40.69 eV/f.u.
Distance to the lowest polymorph of the same formula: 45 meV/atom

```
Nd2ErSe4
1.0
2.0036 -6.9738 0.0000
2.0036 6.9738 0.0000
0.0000 0.0000 14.0936
Nd Er Se
4 2 8
Direct
0.1300 0.8700 0.5720 Nd
0.1300 0.8700 0.9280 Nd
0.8700 0.1300 0.0720 Nd
0.8700 0.1300 0.4280 Nd
0.3719 0.6281 0.7500 Er
0.6281 0.3719 0.2500 Er
0.0185 0.9815 0.7500 Se
0.2185 0.7815 0.1263 Se
0.2185 0.7815 0.3737 Se
0.5000 0.5000 0.0000 Se
0.5000 0.5000 0.5000 Se
0.7815 0.2185 0.6263 Se
0.7815 0.2185 0.8737 Se
0.9815 0.0185 0.2500 Se
```



Material: Nd5ErSe6
Method: DFT, PBE-GGA
State: optimized geometry

Total energy: -71.11 eV/f.u.

```
Nd5ErSe6
1.0
3.6383 -6.3086 0.0000
3.6383 6.3086 0.0000
-2.4302 0.0000 6.8427
Nd Er Se
5 1 6
Direct
0.0000 0.0000 0.0000 Nd
0.1678 0.8322 0.5000 Nd
0.3263 0.6737 0.0000 Nd
0.6737 0.3263 0.0000 Nd
0.8322 0.1678 0.5000 Nd
0.5000 0.5000 0.5000 Er
0.0977 0.4191 0.2579 Se
0.2606 0.2606 0.7475 Se
0.4191 0.0977 0.2579 Se
0.5809 0.9023 0.7421 Se
0.7394 0.7394 0.2525 Se
0.9023 0.5809 0.7421 Se
```



Material: NdEr2Se4
Method: DFT, PBE-GGA
State: optimized geometry

Total energy: -40.80 eV/f.u.
Distance to the lowest polymorph of the same formula: 0 meV/atom

```
NdEr2Se4
1.0
2.0051 -6.6978 0.0000
2.0051 6.6978 0.0000
0.0000 0.0000 13.8143
Nd Er Se
2 4 8
Direct
0.1242 0.8758 0.7500 Nd
0.8758 0.1242 0.2500 Nd
0.3694 0.6306 0.5680 Er
0.3694 0.6306 0.9320 Er
0.6306 0.3694 0.0680 Er
0.6306 0.3694 0.4320 Er
0.0000 0.0000 0.0000 Se
0.0000 0.0000 0.5000 Se
0.2735 0.7265 0.1189 Se
0.2735 0.7265 0.3811 Se
0.4596 0.5404 0.7500 Se
0.5404 0.4596 0.2500 Se
0.7265 0.2735 0.6189 Se
0.7265 0.2735 0.8811 Se
```



Material: Nd2Er3Se6
Method: DFT, PBE-GGA
State: optimized geometry

Total energy: -64.58 eV/f.u.

```
Nd2Er3Se6
1.0
3.5523 -6.1213 0.0000
3.5523 6.1213 0.0000
-2.3619 0.0000 6.7553
Nd Er Se
2 3 6
Direct
0.1649 0.8351 0.0000 Nd
0.8351 0.1649 0.0000 Nd
0.0000 0.0000 0.5000 Er
0.3339 0.6661 0.5000 Er
0.6661 0.3339 0.5000 Er
0.0861 0.4131 0.7383 Se
0.2612 0.2612 0.2586 Se
0.4131 0.0861 0.7383 Se
0.5869 0.9139 0.2617 Se
0.7388 0.7388 0.7414 Se
0.9139 0.5869 0.2617 Se
```



Material: Nd4Er3Se8
Method: DFT, PBE-GGA
State: optimized geometry

Total energy: -87.92 eV/f.u.
Distance to the lowest polymorph of the same formula: 0 meV/atom

```
Nd4Er3Se8
1.0
5.8366 -5.8412 0.0000
5.8366 5.8412 0.0000
-5.8263 0.0000 5.8458
Nd Er Se
4 3 8
Direct
0.0000 0.0000 0.0000 Nd
0.0000 0.5000 0.0000 Nd
0.5000 0.0000 0.0000 Nd
0.5000 0.5000 0.5000 Nd
0.0000 0.5000 0.5000 Er
0.5000 0.0000 0.5000 Er
0.5000 0.5000 0.0000 Er
0.2428 0.7572 0.5000 Se
0.2481 0.2481 0.5110 Se
0.2490 0.2490 0.9865 Se
0.2555 0.7445 0.0000 Se
0.7445 0.2555 0.0000 Se
0.7510 0.7510 0.0135 Se
0.7519 0.7519 0.4890 Se
0.7572 0.2428 0.5000 Se
```



Material: NdErSe3
Method: DFT, PBE-GGA
State: optimized geometry

Total energy: -29.19 eV/f.u.
Distance to the lowest polymorph of the same formula: 0 meV/atom

```
NdErSe3
1.0
7.7301 0.0000 0.0000
0.0000 4.1350 0.0000
0.0000 0.0000 16.0709
Nd Er Se
4 4 12
Direct
0.1407 0.2500 0.2005 Nd
0.3593 0.7500 0.7005 Nd
0.6407 0.2500 0.2995 Nd
0.8593 0.7500 0.7995 Nd
0.2285 0.7500 0.4575 Er
0.2715 0.2500 0.9575 Er
0.7285 0.7500 0.0425 Er
0.7715 0.2500 0.5425 Er
0.0095 0.2500 0.3950 Se
0.1224 0.7500 0.0616 Se
0.1517 0.2500 0.7854 Se
0.3483 0.7500 0.2854 Se
0.3776 0.2500 0.5616 Se
0.4905 0.7500 0.8950 Se
0.5095 0.2500 0.1050 Se
0.6224 0.7500 0.4384 Se
0.6517 0.2500 0.7146 Se
0.8483 0.7500 0.2146 Se
0.8776 0.2500 0.9384 Se
0.9905 0.7500 0.6050 Se
```



Material: NdEr2Se5
Method: DFT, PBE-GGA
State: optimized geometry

Total energy: -44.28 eV/f.u.

```
NdEr2Se5
1.0
-3.8099 3.8099 6.6025
3.8099 -3.8099 6.6025
3.8099 3.8099 -6.6025
Nd Er Se
2 4 10
Direct
0.2500 0.2500 0.0000 Nd
0.7500 0.7500 0.0000 Nd
0.1558 0.6558 0.8116 Er
0.3442 0.1558 0.5000 Er
0.6558 0.8442 0.5000 Er
0.8442 0.3442 0.1884 Er
0.0000 0.0000 0.0000 Se
0.0095 0.2003 0.5000 Se
0.2003 0.7003 0.1908 Se
0.2997 0.4905 0.5000 Se
0.4905 0.9905 0.1908 Se
0.5000 0.5000 0.0000 Se
0.5095 0.0095 0.8092 Se
0.7003 0.5095 0.5000 Se
0.7997 0.2997 0.8092 Se
0.9905 0.7997 0.5000 Se
```



Material: Nd2Er2Se5
Method: DFT, PBE-GGA
State: optimized geometry

Total energy: -50.83 eV/f.u.
Distance to the lowest polymorph of the same formula: 98 meV/atom

```
Nd2Er2Se5
1.0
-8.9935 4.1110 3.5768
8.9935 -4.1110 3.5768
8.9935 4.1110 -3.5768
Nd Er Se
4 4 10
Direct
0.0681 0.0937 0.1618 Nd
0.0681 0.4063 0.4745 Nd
0.9319 0.5937 0.5255 Nd
0.9319 0.9063 0.8382 Nd
0.3688 0.7221 0.1467 Er
0.5343 0.0343 0.5000 Er
0.5343 0.5343 0.0000 Er
0.5753 0.2221 0.8533 Er
0.0120 0.3390 0.1729 Se
0.0279 0.2716 0.8194 Se
0.0279 0.7084 0.2563 Se
0.1661 0.8390 0.8271 Se
0.4522 0.2084 0.1806 Se
0.4522 0.7716 0.7437 Se
0.5033 0.2537 0.5424 Se
0.5033 0.4609 0.7496 Se
0.7112 0.7537 0.2504 Se
0.7112 0.9609 0.4576 Se
```



For reference, uncorrected formation energy by record: -1879, -1864, -1090, -1522, -1807, -1816, -1853, -1859, -1819, -1880, -1621, -1639 meV per atom.